Record 1
The following is a PBE calculation of a relaxed structure of GaCuMoPb2, from Alexandria via LeMat-Bulk.

* ΔE_f: 1.11 eV/atom
* electronic total energy: -19.85 eV for the cell shown

Lattice parameters (Å, degrees): 5.3821 5.3821 4.5527 90.00 90.00 90.00
With the nearest neighbours (Å) after each atom.
Fractional positions:
Ga 0.0000 0.0000 0.0000  2 Cu 2.28
Cu 0.0000 0.0000 0.5000  2 Ga 2.28
Mo 0.5000 0.5000 0.5000  8 Pb 3.52, 4 Cu 3.81
Pb 0.0000 0.5000 0.0000  2 Ga 2.69
Pb 0.5000 0.0000 0.0000  2 Ga 2.69

Record 2
The following is a PBE calculation of a relaxed structure of KBa2Os, from Alexandria via LeMat-Bulk.

* ΔE_f: 0.76 eV/atom
* electronic total energy: -26.30 eV for the cell shown

Lattice parameters (Å, degrees): 9.0445 9.0445 9.0445 120.05 120.05 89.92
With the nearest neighbours (Å) after each atom.
Fractional positions:
K 0.0000 0.0000 0.0000  12 Ba 5.29-5.31, 4 K 5.54, 4 Os 5.54
K 0.7500 0.2500 0.5000  12 Ba 5.29-5.31, 4 K 5.54, 4 Os 5.54
Ba 0.3738 0.1250 0.7488  2 Os 2.77
Ba 0.3750 0.6262 0.7512  2 Os 2.77
Ba 0.3762 0.6250 0.2512  2 Os 2.77
Ba 0.8750 0.6238 0.2488  2 Os 2.77
Os 0.2500 0.7500 0.5000  4 Ba 2.77
Os 0.5000 0.5000 0.0000  4 Ba 2.77

Record 3
The following is a PBE calculation of a relaxed structure of TiSnIN2, from Alexandria via LeMat-Bulk.

* electronic total energy: -23.16 eV for the cell shown
* E_form (uncorrected): 1.39 eV/atom

Lattice parameters (Å, degrees): 4.1039 4.1039 5.9651 90.00 90.00 90.00
With the nearest neighbours (Å) after each atom.
Fractional positions:
Ti 0.0000 0.0000 0.0000  4 I 2.90
Sn 0.5000 0.5000 0.5000  4 N 2.05
I 0.5000 0.5000 0.0000  4 Ti 2.90, 2 Sn 2.98
N 0.0000 0.5000 0.5000  2 Sn 2.05
N 0.5000 0.0000 0.5000  2 Sn 2.05

Record 4
The following is a PBE calculation of a relaxed structure of Li6Hg6Pb, from Alexandria via LeMat-Bulk.

* ΔE_f: -0.20 eV/atom
* electronic total energy: -19.57 eV for the cell shown

Lattice parameters (Å, degrees): 5.9696 5.9696 9.3089 90.00 90.00 120.15
With the nearest neighbours (Å) after each atom.
Fractional positions:
Li 0.0000 0.0000 0.1721  1 Pb 3.05, 6 Hg 3.06, 1 Li 3.20
Li 0.0000 0.0000 0.8279  1 Pb 3.05, 6 Hg 3.06, 1 Li 3.20
Li 0.3336 0.6664 0.0000  6 Hg 2.87
Li 0.3335 0.6665 0.5000  6 Hg 2.92
Li 0.6664 0.3336 0.0000  6 Hg 2.87
Li 0.6665 0.3335 0.5000  6 Hg 2.92
Hg 0.0000 0.5000 0.2470  6 Li 2.87-3.06, 4 Hg 2.98
Hg 0.0000 0.5000 0.7530  6 Li 2.87-3.06, 4 Hg 2.98
Hg 0.5000 0.0000 0.2470  6 Li 2.87-3.06, 4 Hg 2.98
Hg 0.5000 0.0000 0.7530  6 Li 2.87-3.06, 4 Hg 2.98
Hg 0.5000 0.5000 0.2468  6 Li 2.87-3.06, 4 Hg 2.98
Hg 0.5000 0.5000 0.7532  6 Li 2.87-3.06, 4 Hg 2.98
Pb 0.0000 0.0000 0.5000  2 Li 3.05

Record 5
The following is a PBE calculation of a relaxed structure of Li3In2Hg6, from Alexandria via LeMat-Bulk.

* ΔE_f: -0.20 eV/atom
* electronic total energy: -15.25 eV for the cell shown

Lattice parameters (Å, degrees): 11.3505 11.3505 11.3505 25.81 25.81 25.81
With the nearest neighbours (Å) after each atom.
Fractional positions:
Li 0.0000 0.0000 0.0000  8 Hg 2.72-3.03
Li 0.2717 0.2717 0.2717  5 Hg 2.79-3.01
Li 0.7283 0.7283 0.7283  5 Hg 2.79-3.01
In 0.4518 0.4518 0.4518  7 Hg 3.09-3.16, 1 In 3.17
In 0.5482 0.5482 0.5482  7 Hg 3.09-3.16, 1 In 3.17
Hg 0.0825 0.0825 0.0825  4 Li 2.72-3.01
Hg 0.1850 0.1850 0.1850  1 Li 2.85, 3 In 3.09, 3 Hg 3.17
Hg 0.3566 0.3566 0.3566  4 Li 2.79-3.03
Hg 0.6434 0.6434 0.6434  4 Li 2.79-3.03
Hg 0.8150 0.8150 0.8150  1 Li 2.85, 3 In 3.09, 3 Hg 3.17
Hg 0.9175 0.9175 0.9175  4 Li 2.72-3.01

Record 6
The following is a PBE calculation of a relaxed structure of Ti5Al2Fe2Co, from Alexandria via LeMat-Bulk.

* ΔE_f: -0.27 eV/atom
* electronic total energy: -147.40 eV for the cell shown

Lattice parameters (Å, degrees): 10.0882 10.0882 2.9396 90.00 90.00 90.00
With the nearest neighbours (Å) after each atom.
Fractional positions:
Ti 0.0000 0.5000 0.0000  4 Fe 2.42
Ti 0.0678 0.1944 0.0000  2 Fe 2.37, 2 Co 2.54
Ti 0.1944 0.9322 0.0000  2 Fe 2.37, 2 Co 2.54
Ti 0.3056 0.4322 0.0000  2 Fe 2.37, 2 Co 2.54
Ti 0.4322 0.6944 0.0000  2 Fe 2.37, 2 Co 2.54
Ti 0.5000 0.0000 0.0000  4 Fe 2.42
Ti 0.5678 0.3056 0.0000  2 Fe 2.37, 2 Co 2.54
Ti 0.6944 0.5678 0.0000  2 Fe 2.37, 2 Co 2.54
Ti 0.8056 0.0678 0.0000  2 Fe 2.37, 2 Co 2.54
Ti 0.9322 0.8056 0.0000  2 Fe 2.37, 2 Co 2.54
Al 0.1739 0.6739 0.5000  1 Fe 2.73, 6 Ti 2.88-3.00, 2 Al 2.94
Al 0.3261 0.1739 0.5000  1 Fe 2.73, 6 Ti 2.88-3.00, 2 Al 2.94
Al 0.6739 0.8261 0.5000  1 Fe 2.73, 6 Ti 2.88-3.00, 2 Al 2.94
Al 0.8261 0.3261 0.5000  1 Fe 2.73, 6 Ti 2.88-3.00, 2 Al 2.94
Fe 0.1344 0.3656 0.5000  6 Ti 2.37-2.42
Fe 0.3656 0.8656 0.5000  6 Ti 2.37-2.42
Fe 0.6344 0.1344 0.5000  6 Ti 2.37-2.42
Fe 0.8656 0.6344 0.5000  6 Ti 2.37-2.42
Co 0.0000 0.0000 0.5000  8 Ti 2.54
Co 0.5000 0.5000 0.5000  8 Ti 2.54